An optimized crystal structure of LiMnSb2, computed with PBE.

Its formation energy from raw total energies is -0.02 eV/atom. As for the crystal system: orthorhombic. The value obtained for the energy above the lowest structure with this stoichiometry is 129 meV per atom.

The structure belongs to space group Pmm2 (No. 25); the cell edges are 3.3475, 4.3705 and 5.7090 Å and the angles 90.00°, 90.00° and 90.00°. The asymmetric unit holds Li at (0.0000, 0.0000, 0.0000), Mn at (0.5000, 0.5000, 0.3536), Sb at (0.0000, 0.0000, 0.4828) and Sb at (0.5000, 0.5000, 0.8710).


An optimized crystal structure of LiMnSb2, computed with PBE.

Its formation energy from raw total energies is 0.24 eV/atom. As for the crystal system: cubic. The value obtained for the energy above the lowest structure with this stoichiometry is 390 meV per atom.

The structure belongs to space group F-43m (No. 216); the cell edges are 7.1126, 7.1126 and 7.1126 Å and the angles 90.00°, 90.00° and 90.00°. The asymmetric unit holds Li at (0.0000, 0.0000, 0.0000), Mn at (0.2500, 0.2500, 0.2500), Sb at (0.0000, 0.0000, 0.5000) and Sb at (0.2500, 0.2500, 0.7500).


An optimized crystal structure of LiMnSb2, computed with PBE.

Its formation energy from raw total energies is -0.06 eV/atom. As for the crystal system: orthorhombic. The value obtained for the energy above the lowest structure with this stoichiometry is 87 meV per atom.

The structure belongs to space group Pmmm (No. 47); the cell edges are 3.1092, 3.4628 and 7.7130 Å and the angles 90.00°, 90.00° and 90.00°. The asymmetric unit holds Li at (0.0000, 0.0000, 0.0000), Mn at (0.0000, 0.0000, 0.5000) and Sb at (0.5000, 0.5000, 0.2758).